(1)
{
  "formula": "PPtRh2",
  "functional": "PBE",
  "state": "relaxed",
  "cell": [[-1.427, 2.241, 4.470], [1.427, -2.241, 4.470], [1.427, 2.241, -4.470]],
  "species": ["P", "Pt", "Rh", "Rh"],
  "frac_coords": [[0.000, 0.000, 0.000], [0.500, 0.500, 0.000], [0.200, 0.700, 0.500], [0.800, 0.300, 0.500]],
  "vol_a3_per_fu": 57.16,
  "magmom_total_mub_per_atom": 0.0000,
  "final_energy_ha_per_atom": -0.250,
  "delta_e_f_ev_per_atom": -0.26
}

***

(2)
{
  "formula": "PmThH",
  "functional": "PBE",
  "state": "relaxed",
  "cell": [[3.652, 0.000, 0.000], [-0.001, 5.366, 0.000], [-0.013, -0.168, 7.366]],
  "species": ["Pm", "Pm", "Th", "Th", "H", "H"],
  "frac_coords": [[0.249, 0.268, 0.127], [0.751, 0.732, 0.873], [0.251, 0.224, 0.625], [0.749, 0.776, 0.375], [0.249, 0.503, 0.388], [0.751, 0.497, 0.612]],
  "vol_a3_per_fu": 72.17,
  "magmom_total_mub_per_atom": 0.0000,
  "final_energy_ha_per_atom": -0.195,
  "de_polymorph_kj_per_mol_atoms": 0.0
}